No. 1
Computed, not measured: a relaxed TmMgCuTeSe2 crystal at the PBE level of DFT.

Unit cell a=6.9267 b=6.9267 c=10.8551 alpha=90.00 beta=90.00 gamma=147.44
With the nearest neighbours (Å) after each atom.
Atoms (fractional coordinates):
Mg (0.7961, 0.2039, 0.7500)  4 Se 2.83, 2 Cu 3.09, 2 Te 3.13
Mg (0.2039, 0.7961, 0.2500)  4 Se 2.83, 2 Cu 3.09, 2 Te 3.13
Se (0.6411, 0.3589, 0.0770)  1 Cu 2.45
Se (0.3589, 0.6411, 0.5770)  1 Cu 2.45
Se (0.6411, 0.3589, 0.4230)  1 Cu 2.45
Se (0.3589, 0.6411, 0.9230)  1 Cu 2.45
Te (0.8884, 0.1115, 0.2500)  2 Cu 2.64
Te (0.1115, 0.8884, 0.7500)  2 Cu 2.64
Tm (0.0000, 0.0000, 0.0000)  4 Se 2.83, 2 Te 3.09
Tm (0.0000, 0.0000, 0.5000)  4 Se 2.83, 2 Te 3.09
Cu (0.5234, 0.4766, 0.2500)  2 Se 2.45, 2 Te 2.64
Cu (0.4766, 0.5234, 0.7500)  2 Se 2.45, 2 Te 2.64

Space group: Cmcm
M_tot in μB per formula unit: 0.00
Final energy in eV per atom: -4.3406


No. 2
Computed, not measured: a relaxed TaTlAsO crystal at the PBE level of DFT.

Unit cell a=4.2400 b=4.2400 c=8.1247 alpha=90.00 beta=90.00 gamma=90.00
With the nearest neighbours (Å) after each atom.
Atoms (fractional coordinates):
Tl (0.0000, 0.5000, 0.8704)  4 O 2.37
Tl (0.5000, 0.0000, 0.1296)  4 O 2.37
Ta (0.0000, 0.0000, 0.5000)  4 As 2.63
Ta (0.5000, 0.5000, 0.5000)  4 As 2.63
O (0.0000, 0.0000, 0.0000)  4 Tl 2.37
O (0.5000, 0.5000, 0.0000)  4 Tl 2.37
As (0.5000, 0.0000, 0.6910)  4 Ta 2.63
As (0.0000, 0.5000, 0.3090)  4 Ta 2.63

Space group: P4/nmm
Energy above the lowest structure with this stoichiometry in kcal/mol of atoms: 16.44
M_tot in μB per formula unit: 0.00


No. 3
Computed, not measured: a relaxed Gd3Dy2ScTe2Pd crystal at the PBE level of DFT.

Unit cell a=3.9633 b=8.3239 c=8.3239 alpha=119.72 beta=90.00 gamma=90.00
With the nearest neighbours (Å) after each atom.
Atoms (fractional coordinates):
Gd (0.0000, 0.6013, 0.9997)  4 Te 3.22-3.26, 1 Pd 3.24, 2 Sc 3.51, 4 Dy 3.53-3.58
Gd (0.0000, 0.9997, 0.6013)  4 Te 3.22-3.26, 1 Pd 3.24, 2 Sc 3.51, 4 Dy 3.53-3.58
Gd (0.0000, 0.4110, 0.4110)  4 Te 3.19, 2 Sc 3.48, 4 Dy 3.57
Te (0.5000, 0.3381, 0.6683)  1 Sc 3.16, 6 Gd 3.19-3.26, 2 Dy 3.24
Te (0.5000, 0.6683, 0.3381)  1 Sc 3.16, 6 Gd 3.19-3.26, 2 Dy 3.24
Sc (0.5000, 0.7528, 0.7528)  2 Pd 2.75
Dy (0.5000, 0.0026, 0.2447)  2 Pd 2.89, 2 Te 3.24
Dy (0.5000, 0.2447, 0.0026)  2 Pd 2.89, 2 Te 3.24
Pd (0.0000, 0.9816, 0.9816)  2 Sc 2.75, 4 Dy 2.89

Space group: Amm2
M_tot in μB per formula unit: 0.03
Final energy in eV per atom: -5.3761


No. 4
Computed, not measured: a relaxed MgScIr2 crystal at the PBE level of DFT.

Unit cell a=4.4080 b=4.4080 c=8.3642 alpha=90.00 beta=90.00 gamma=120.00
With the nearest neighbours (Å) after each atom.
Atoms (fractional coordinates):
Ir (0.3333, 0.6667, 0.6021)  1 Ir 2.47, 3 Mg 2.68
Ir (0.3333, 0.6667, 0.8979)  1 Ir 2.47, 3 Mg 2.68
Ir (0.6667, 0.3333, 0.1021)  1 Ir 2.47, 3 Mg 2.68
Ir (0.6667, 0.3333, 0.3979)  1 Ir 2.47, 3 Mg 2.68
Mg (0.0000, 0.0000, 0.0000)  6 Ir 2.68
Mg (0.0000, 0.0000, 0.5000)  6 Ir 2.68
Sc (0.3333, 0.6667, 0.2500)  8 Ir 2.83-2.95
Sc (0.6667, 0.3333, 0.7500)  8 Ir 2.83-2.95

Space group: P6_3/mmc
M_tot in μB per formula unit: 0.00
Final energy in eV per atom: -6.8853


No. 5
Computed, not measured: a relaxed GePdSO crystal at the PBE level of DFT.

Unit cell a=5.8511 b=8.8485 c=5.2162 alpha=90.00 beta=90.00 gamma=90.00
With the nearest neighbours (Å) after each atom.
Atoms (fractional coordinates):
Pd (0.9970, 0.1504, 0.5229)  2 O 2.08-2.11
Pd (0.0030, 0.8496, 0.0229)  2 O 2.08-2.11
Pd (0.4970, 0.8496, 0.5229)  2 O 2.08-2.11
Pd (0.5030, 0.1504, 0.0229)  2 O 2.08-2.11
Ge (0.4182, 0.7714, 0.0897)  1 O 1.87
Ge (0.9182, 0.2286, 0.0897)  1 O 1.87
Ge (0.5818, 0.2286, 0.5897)  1 O 1.87
Ge (0.0818, 0.7714, 0.5897)  1 O 1.87
O (0.9527, 0.9288, 0.3995)  1 Ge 1.87, 1 Pd 2.08
O (0.0473, 0.0712, 0.8995)  1 Ge 1.87, 1 Pd 2.08
O (0.4527, 0.0712, 0.3995)  1 Ge 1.87, 1 Pd 2.08
O (0.5473, 0.9288, 0.8995)  1 Ge 1.87, 1 Pd 2.08
S (0.0313, 0.6195, 0.2379)  1 Ge 2.29, 1 Pd 2.33
S (0.4687, 0.6195, 0.7379)  1 Ge 2.29, 1 Pd 2.33
S (0.5313, 0.3805, 0.2379)  1 Ge 2.29, 1 Pd 2.33
S (0.9688, 0.3805, 0.7379)  1 Ge 2.29, 1 Pd 2.33

Space group: Pca2_1
Energy above the lowest structure with this stoichiometry in kcal/mol of atoms: 3.07


No. 6
Computed, not measured: a relaxed PmSiO3 crystal at the PBE level of DFT.

Unit cell a=5.2717 b=5.2717 c=5.2717 alpha=60.09 beta=60.09 gamma=60.09
With the nearest neighbours (Å) after each atom.
Atoms (fractional coordinates):
O (0.7500, 0.2509, 0.2491)  2 Si 1.87
O (0.7509, 0.2500, 0.7491)  2 Si 1.87
O (0.2500, 0.7491, 0.7509)  2 Si 1.87
O (0.7491, 0.7509, 0.2500)  2 Si 1.87
O (0.2509, 0.2491, 0.7500)  2 Si 1.87
O (0.2491, 0.7500, 0.2509)  2 Si 1.87
Si (0.5000, 0.5000, 0.5000)  6 O 1.87
Si (0.0000, 0.0000, 0.0000)  6 O 1.87
Pm (0.2500, 0.2500, 0.2500)  12 O 2.63-2.64
Pm (0.7500, 0.7500, 0.7500)  12 O 2.63-2.64

Space group: R-3m
M_tot in μB per formula unit: 0.00
Final energy in eV per atom: -7.4264


No. 7
Computed, not measured: a relaxed Na2As2Pt crystal at the PBE level of DFT.

Unit cell a=6.4548 b=6.4548 c=4.8632 alpha=90.00 beta=90.00 gamma=90.00
With the nearest neighbours (Å) after each atom.
Atoms (fractional coordinates):
Pt (0.0000, 0.0000, 0.0000)  4 As 2.50
Pt (0.5000, 0.5000, 0.0000)  4 As 2.50
Na (0.1760, 0.6760, 0.5000)  6 As 2.97-3.17, 1 Na 3.21
Na (0.3240, 0.1760, 0.5000)  6 As 2.97-3.17, 1 Na 3.21
Na (0.6760, 0.8240, 0.5000)  6 As 2.97-3.17, 1 Na 3.21
Na (0.8240, 0.3240, 0.5000)  6 As 2.97-3.17, 1 Na 3.21
As (0.1379, 0.3621, 0.0000)  2 Pt 2.50, 1 As 2.52
As (0.8621, 0.6379, 0.0000)  2 Pt 2.50, 1 As 2.52
As (0.3621, 0.8621, 0.0000)  2 Pt 2.50, 1 As 2.52
As (0.6379, 0.1379, 0.0000)  2 Pt 2.50, 1 As 2.52

Space group: P4/mbm
M_tot in μB per formula unit: 0.00
Final energy in eV per atom: -4.0889


No. 8
Computed, not measured: a relaxed Zr3Al3IrAu2 crystal at the PBE level of DFT.

Unit cell a=6.8792 b=6.8792 c=4.0248 alpha=90.00 beta=90.00 gamma=120.00
With the nearest neighbours (Å) after each atom.
Atoms (fractional coordinates):
Zr (0.4044, 0.4044, 0.0000)  1 Ir 2.78, 4 Au 2.90
Zr (0.5956, 0.0000, 0.0000)  1 Ir 2.78, 4 Au 2.90
Zr (0.0000, 0.5956, 0.0000)  1 Ir 2.78, 4 Au 2.90
Au (0.3333, 0.6667, 0.5000)  3 Al 2.66, 6 Zr 2.90
Au (0.6667, 0.3333, 0.5000)  3 Al 2.66, 6 Zr 2.90
Ir (0.0000, 0.0000, 0.0000)  6 Al 2.61, 3 Zr 2.78
Al (0.2418, 0.0000, 0.5000)  2 Ir 2.61, 2 Au 2.66, 2 Al 2.88
Al (0.7582, 0.7582, 0.5000)  2 Ir 2.61, 2 Au 2.66, 2 Al 2.88
Al (0.0000, 0.2418, 0.5000)  2 Ir 2.61, 2 Au 2.66, 2 Al 2.88

Space group: P-62m
Energy above the lowest structure with this stoichiometry in kcal/mol of atoms: 0.12
M_tot in μB per formula unit: 0.01


- What is the formula in the third record?
  Gd3Dy2ScTe2Pd